! BePbSe2 | Alexandria via LeMat-Bulk | PBE | optimized geometry; values from VASP
! **E**: -4.085 eV/atom
! **Density of states at the Fermi level**: 0.24 states/eV per cell
! **ΔE to the lowest computed polymorph**: 41.2 meV/atom
! **Raw formation energy**: -484 meV/atom
&SYSTEM
  ibrav = 0, nat = 4, ntyp = 3
/
ATOMIC_SPECIES
Be 9.01 Be.upf
Pb 207.20 Pb.upf
Se 78.96 Se.upf
ATOMIC_POSITIONS crystal
Be 0.000 0.000 0.000
Pb 0.344 0.500 0.637
Se 0.106 0.500 0.163
Se 0.805 0.000 0.646
CELL_PARAMETERS angstrom
4.790 0.000 0.000
0.000 3.892 0.000
-2.354 0.000 6.066